DFT (GGA-PBE) results for an optimized crystal structure of TaAsSe2O.

The space group is P4/mmm (No. 123) and the conventional cell measures 4.479, 4.479 and 4.182 Å, with angles of 90.00, 90.00 and 90.00 degrees. The distinct sites, in fractional coordinates, are Ta at (0.000, 0.000, 0.000), As at (0.500, 0.500, 0.000), Se at (0.000, 0.500, 0.500) and O at (0.500, 0.500, 0.500).

The calculation puts the formation energy (no corrections) at 0.45 eV/atom. Its raw total energy is -5.24 eV per atom. For the relative energy among the computed polymorphs, the calculation gives 0.0 meV/atom. The density of states at the Fermi level is 3.198 states/eV/cell.

---

DFT (GGA-PBE) results for an optimized crystal structure of TaAsSe2O.

The space group is P4/mmm (No. 123) and the conventional cell measures 4.893, 4.893 and 5.088 Å, with angles of 90.00, 90.00 and 90.00 degrees. The distinct sites, in fractional coordinates, are Ta at (0.000, 0.000, 0.000), As at (0.000, 0.000, 0.500), Se at (0.000, 0.500, 0.000) and O at (0.500, 0.500, 0.500).

The calculation puts the formation energy (no corrections) at 0.58 eV/atom. Its raw total energy is -5.11 eV per atom. For the relative energy among the computed polymorphs, the calculation gives 125.4 meV/atom. The density of states at the Fermi level is 8.962 states/eV/cell.